# YPPt (GGA-PBE, relaxed)
# - Energy of formation from the pure elements: -1.3665 eV per atom
# - Space-group type: P-6m2, No. 187
data_YPPt
_cell_length_a 4.1360
_cell_length_b 4.1360
_cell_length_c 3.8895
_cell_angle_alpha 90.00
_cell_angle_beta 90.00
_cell_angle_gamma 120.00
_space_group_name_H-M_alt 'P 1'
_space_group_IT_number 1
_space_group_name_Hall 'P 1'
loop_
_atom_site_label
_atom_site_type_symbol
_atom_site_fract_x
_atom_site_fract_y
_atom_site_fract_z
_atom_site_occupancy
Y1 Y 0.0000 0.0000 0.0000 1
P1 P 0.6667 0.3333 0.5000 1
Pt1 Pt 0.3333 0.6667 0.5000 1

***

# YPPt (GGA-PBE, relaxed)
# - Energy of formation from the pure elements: -0.6932 eV per atom
# - Space-group type: Fmm2, No. 42
data_YPPt
_cell_length_a 5.5526
_cell_length_b 5.4242
_cell_length_c 3.4465
_cell_angle_alpha 73.74
_cell_angle_beta 69.69
_cell_angle_gamma 36.57
_space_group_name_H-M_alt 'P 1'
_space_group_IT_number 1
_space_group_name_Hall 'P 1'
loop_
_atom_site_label
_atom_site_type_symbol
_atom_site_fract_x
_atom_site_fract_y
_atom_site_fract_z
_atom_site_occupancy
Y1 Y 0.0000 0.0000 0.0000 1
P1 P 0.7087 0.7087 0.2913 1
Pt1 Pt 0.3068 0.3068 0.6932 1

***

# YP2Pt (GGA-PBE, relaxed)
# - Energy of formation from the pure elements: -0.8251 eV per atom
# - Space-group type: R-3m, No. 166
# - Offset from the most stable computed form: 0.244 eV per atom
data_YP2Pt
_cell_length_a 5.8840
_cell_length_b 5.8840
_cell_length_c 5.8840
_cell_angle_alpha 39.12
_cell_angle_beta 39.12
_cell_angle_gamma 39.12
_space_group_name_H-M_alt 'P 1'
_space_group_IT_number 1
_space_group_name_Hall 'P 1'
loop_
_atom_site_label
_atom_site_type_symbol
_atom_site_fract_x
_atom_site_fract_y
_atom_site_fract_z
_atom_site_occupancy
Y1 Y 0.0000 0.0000 0.0000 1
P1 P 0.2335 0.2335 0.2335 1
P2 P 0.7665 0.7665 0.7665 1
Pt1 Pt 0.5000 0.5000 0.5000 1

***

# YP2Pt (GGA-PBE, relaxed)
# - Energy of formation from the pure elements: -0.8444 eV per atom
# - Space-group type: Pnma, No. 62
# - Offset from the most stable computed form: 0.225 eV per atom
data_YP2Pt
_cell_length_a 7.2742
_cell_length_b 6.5707
_cell_length_c 6.2320
_cell_angle_alpha 90.00
_cell_angle_beta 90.00
_cell_angle_gamma 90.00
_space_group_name_H-M_alt 'P 1'
_space_group_IT_number 1
_space_group_name_Hall 'P 1'
loop_
_atom_site_label
_atom_site_type_symbol
_atom_site_fract_x
_atom_site_fract_y
_atom_site_fract_z
_atom_site_occupancy
Y1 Y 0.0005 0.2500 0.2481 1
Y2 Y 0.4995 0.7500 0.7481 1
Y3 Y 0.5005 0.2500 0.2519 1
Y4 Y 0.9995 0.7500 0.7519 1
P1 P 0.2486 0.0590 0.5926 1
P2 P 0.2486 0.4410 0.5926 1
P3 P 0.2514 0.5590 0.0926 1
P4 P 0.2514 0.9410 0.0926 1
P5 P 0.7486 0.0590 0.9074 1
P6 P 0.7486 0.4410 0.9074 1
P7 P 0.7514 0.5590 0.4074 1
P8 P 0.7514 0.9410 0.4074 1
Pt1 Pt 0.0013 0.7500 0.2500 1
Pt2 Pt 0.4987 0.2500 0.7500 1
Pt3 Pt 0.5013 0.7500 0.2500 1
Pt4 Pt 0.9987 0.2500 0.7500 1

***

# YP2Pt (GGA-PBE, relaxed)
# - Energy of formation from the pure elements: -0.6642 eV per atom
# - Space-group type: P4mm, No. 99
# - Offset from the most stable computed form: 0.405 eV per atom
data_YP2Pt
_cell_length_a 3.6201
_cell_length_b 3.6201
_cell_length_c 5.6529
_cell_angle_alpha 90.00
_cell_angle_beta 90.00
_cell_angle_gamma 90.00
_space_group_name_H-M_alt 'P 1'
_space_group_IT_number 1
_space_group_name_Hall 'P 1'
loop_
_atom_site_label
_atom_site_type_symbol
_atom_site_fract_x
_atom_site_fract_y
_atom_site_fract_z
_atom_site_occupancy
Y1 Y 0.0000 0.0000 0.0000 1
P1 P 0.0000 0.0000 0.5046 1
P2 P 0.5000 0.5000 0.1672 1
Pt1 Pt 0.5000 0.5000 0.6028 1

***

# YP2Pt (GGA-PBE, relaxed)
# - Energy of formation from the pure elements: -0.2903 eV per atom
# - Space-group type: F-43m, No. 216
# - Offset from the most stable computed form: 0.779 eV per atom
data_YP2Pt
_cell_length_a 4.6953
_cell_length_b 4.6953
_cell_length_c 4.6953
_cell_angle_alpha 60.00
_cell_angle_beta 60.00
_cell_angle_gamma 60.00
_space_group_name_H-M_alt 'P 1'
_space_group_IT_number 1
_space_group_name_Hall 'P 1'
loop_
_atom_site_label
_atom_site_type_symbol
_atom_site_fract_x
_atom_site_fract_y
_atom_site_fract_z
_atom_site_occupancy
Y1 Y 0.0000 0.0000 0.0000 1
P1 P 0.5000 0.5000 0.5000 1
P2 P 0.7500 0.7500 0.7500 1
Pt1 Pt 0.2500 0.2500 0.2500 1

***

Q: What is the energy of formation from the pure elements in the fourth record?
A: -0.8444 eV per atom

***

Copy entry 2 word for word.
# YPPt (GGA-PBE, relaxed)
# - Energy of formation from the pure elements: -0.6932 eV per atom
# - Space-group type: Fmm2, No. 42
data_YPPt
_cell_length_a 5.5526
_cell_length_b 5.4242
_cell_length_c 3.4465
_cell_angle_alpha 73.74
_cell_angle_beta 69.69
_cell_angle_gamma 36.57
_space_group_name_H-M_alt 'P 1'
_space_group_IT_number 1
_space_group_name_Hall 'P 1'
loop_
_atom_site_label
_atom_site_type_symbol
_atom_site_fract_x
_atom_site_fract_y
_atom_site_fract_z
_atom_site_occupancy
Y1 Y 0.0000 0.0000 0.0000 1
P1 P 0.7087 0.7087 0.2913 1
Pt1 Pt 0.3068 0.3068 0.6932 1

***

Q: Among the records above, which one has the lowest energy of formation from the pure elements?
A: number 1

***

Q: The highest energy of formation from the pure elements belongs to which entry?
A: number 6